The following is a DFT calculation (PBE) of a geometry-optimized Sm10Sn3Pb3 structure.

Geometry as POSCAR:
```
Sm10Sn3Pb3
1.0
9.225 0.000 0.000
-4.613 7.989 0.000
0.000 0.000 6.770
Sm Sn Pb
10 3 3
Direct
0.000 0.239 0.000
0.000 0.761 0.500
0.239 0.000 0.000
0.239 0.239 0.500
0.333 0.667 0.253
0.333 0.667 0.747
0.667 0.333 0.253
0.667 0.333 0.747
0.761 0.000 0.500
0.761 0.761 0.000
0.000 0.394 0.500
0.394 0.000 0.500
0.606 0.606 0.500
0.000 0.605 0.000
0.395 0.395 0.000
0.605 0.000 0.000
```

Properties
Energy relative to the elements: -969 kJ/mol of formula units
Theoretical density: 8.26 Mg/m³
Total energy: -80.363 eV/cell